(1)
Here is Zr2POs after structural relaxation from the Alexandria database. Energies are from PBE-GGA.

abc: 3.0168 3.0168 7.7829
angles: 90.00 90.00 90.00
Closest atoms and distances in Å follow each position.
Sites, in units of the cell vectors:
1 Zr 0.5000 0.5000 0.2817  4 Os 3.02, 8 Zr 3.02-3.32, 1 P 3.31
2 P 0.5000 0.5000 0.7071  4 Os 2.44
3 Zr 0.0000 0.0000 0.9555  4 P 2.88, 4 Zr 3.02, 1 Os 3.11
4 Os 0.0000 0.0000 0.5557  4 P 2.44

Computed properties:
* E: -35.02 eV/cell
* energy of formation: -0.32 eV/atom
* space group: P4mm, No. 99
* DOS at the Fermi energy: 0.968 states/eV per atom



(2)
Here is ZrPOs after structural relaxation from the Alexandria database. Energies are from PBE-GGA.

abc: 4.2756 4.2756 4.2756
angles: 60.00 60.00 60.00
Closest atoms and distances in Å follow each position.
Sites, in units of the cell vectors:
1 P 0.0000 0.0000 0.0000  4 Os 2.62
2 Zr 0.5000 0.5000 0.5000  4 Os 2.62
3 Os 0.7500 0.7500 0.7500  4 Zr 2.62, 4 P 2.62

Computed properties:
* E: -26.19 eV/cell
* energy of formation: -0.33 eV/atom
* space group: F-43m, No. 216
* DOS at the Fermi energy: 1.093 states/eV per atom



(3)
Here is ZrPOs2 after structural relaxation from the Alexandria database. Energies are from PBE-GGA.

abc: 2.9623 2.9623 6.9594
angles: 90.00 90.00 90.00
Closest atoms and distances in Å follow each position.
Sites, in units of the cell vectors:
1 P 0.5000 0.5000 0.0000  8 Os 2.52
2 Os 0.0000 0.0000 0.2008  4 P 2.52, 1 Os 2.79
3 Os 0.0000 0.0000 0.7992  4 P 2.52, 1 Os 2.79
4 Zr 0.5000 0.5000 0.5000  8 Os 2.95, 4 Zr 2.96

Computed properties:
* E: -37.12 eV/cell
* energy of formation: -0.17 eV/atom
* space group: P4/mmm, No. 123
* DOS at the Fermi energy: 0.911 states/eV per atom



(4)
Here is Zr2POs after structural relaxation from the Alexandria database. Energies are from PBE-GGA.

abc: 4.5810 4.5810 4.5810
angles: 60.00 60.00 60.00
Closest atoms and distances in Å follow each position.
Sites, in units of the cell vectors:
1 Zr 0.7500 0.7500 0.7500  4 Zr 2.81, 4 Os 2.81
2 Zr 0.0000 0.0000 0.0000  4 Zr 2.81, 4 P 2.81
3 Os 0.5000 0.5000 0.5000  4 Zr 2.81, 4 P 2.81
4 P 0.2500 0.2500 0.2500  4 Os 2.81, 4 Zr 2.81

Computed properties:
* E: -33.86 eV/cell
* energy of formation: -0.03 eV/atom
* space group: F-43m, No. 216
* DOS at the Fermi energy: 1.345 states/eV per atom



(5)
Here is ZrPOs2 after structural relaxation from the Alexandria database. Energies are from PBE-GGA.

abc: 8.4023 8.4023 8.4023
angles: 20.36 20.36 20.36
Closest atoms and distances in Å follow each position.
Sites, in units of the cell vectors:
1 Os 0.2362 0.2362 0.2362  3 P 2.43
2 Zr 0.0000 0.0000 0.0000  6 Os 2.95, 6 Zr 2.97
3 P 0.5000 0.5000 0.5000  6 Os 2.43
4 Os 0.7638 0.7638 0.7638  3 P 2.43

Computed properties:
* E: -36.04 eV/cell
* energy of formation: 0.09 eV/atom
* space group: R-3m, No. 166
* DOS at the Fermi energy: 1.231 states/eV per atom



(6)
Here is Zr4POs after structural relaxation from the Alexandria database. Energies are from PBE-GGA.

abc: 5.5193 5.5193 5.5193
angles: 60.00 60.00 60.00
Closest atoms and distances in Å follow each position.
Sites, in units of the cell vectors:
1 Os 0.7500 0.7500 0.7500  12 Zr 3.23, 4 P 3.38
2 P 0.0000 0.0000 0.0000  12 Zr 3.24, 4 Os 3.38
3 Zr 0.3759 0.3759 0.8724  6 Zr 2.74-2.78
4 Zr 0.3759 0.3759 0.3759  6 Zr 2.74-2.78
5 Zr 0.8724 0.3759 0.3759  6 Zr 2.74-2.78
6 Zr 0.3759 0.8724 0.3759  6 Zr 2.74-2.78

Computed properties:
* E: -47.38 eV/cell
* energy of formation: 0.58 eV/atom
* space group: F-43m, No. 216
* DOS at the Fermi energy: 1.276 states/eV per atom



(7)
Here is ZrPOs2 after structural relaxation from the Alexandria database. Energies are from PBE-GGA.

abc: 3.0684 4.4390 4.8125
angles: 72.26 90.00 90.00
Closest atoms and distances in Å follow each position.
Sites, in units of the cell vectors:
1 P 0.5000 0.5000 0.0000  6 Os 2.70-2.73, 4 Zr 2.85
2 Zr 0.0000 0.5000 0.5000  6 Os 2.70-2.73, 4 P 2.85
3 Os 0.5000 0.0000 0.5000  4 Zr 2.70, 2 P 2.73, 4 Os 2.85
4 Os 0.0000 0.0000 0.0000  4 P 2.70, 2 Zr 2.73, 4 Os 2.85

Computed properties:
* E: -36.51 eV/cell
* energy of formation: -0.02 eV/atom
* space group: P2/m, No. 10
* DOS at the Fermi energy: 0.543 states/eV per atom



(8)
Here is ZrPOs after structural relaxation from the Alexandria database. Energies are from PBE-GGA.

abc: 6.4426 6.4426 3.8976
angles: 90.00 90.00 120.00
Closest atoms and distances in Å follow each position.
Sites, in units of the cell vectors:
1 P 0.6667 0.3333 0.0000  3 Os 2.47, 6 Zr 2.75
2 Os 0.7534 0.7534 0.0000  4 P 2.47-2.51, 2 Os 2.75
3 Zr 0.5835 0.0000 0.5000  5 P 2.68-2.75, 2 Os 2.92
4 P 0.0000 0.0000 0.5000  6 Os 2.51, 3 Zr 2.68
5 Os 0.0000 0.2466 0.0000  4 P 2.47-2.51, 2 Os 2.75
6 Zr 0.4165 0.4165 0.5000  5 P 2.68-2.75, 2 Os 2.92
7 Os 0.2466 0.0000 0.0000  4 P 2.47-2.51, 2 Os 2.75
8 P 0.3333 0.6667 0.0000  3 Os 2.47, 6 Zr 2.75
9 Zr 0.0000 0.5835 0.5000  5 P 2.68-2.75, 2 Os 2.92

Computed properties:
* E: -83.73 eV/cell
* energy of formation: -0.91 eV/atom
* space group: P-62m, No. 189
* DOS at the Fermi energy: 0.831 states/eV per atom



(9)
Here is ZrPOs2 after structural relaxation from the Alexandria database. Energies are from PBE-GGA.

abc: 4.2539 4.2539 3.4089
angles: 90.00 90.00 90.00
Closest atoms and distances in Å follow each position.
Sites, in units of the cell vectors:
1 Zr 0.0000 0.0000 0.5000  8 Os 2.73, 4 P 3.01
2 Os 0.5000 0.0000 0.0000  4 Zr 2.73, 4 P 2.73, 4 Os 3.01
3 P 0.5000 0.5000 0.5000  8 Os 2.73, 4 Zr 3.01
4 Os 0.0000 0.5000 0.0000  4 Zr 2.73, 4 P 2.73, 4 Os 3.01

Computed properties:
* E: -36.61 eV/cell
* energy of formation: -0.05 eV/atom
* space group: P4/mmm, No. 123
* DOS at the Fermi energy: 0.394 states/eV per atom



(10)
Here is ZrPOs after structural relaxation from the Alexandria database. Energies are from PBE-GGA.

abc: 4.6659 4.6659 4.6659
angles: 139.88 128.19 67.49
Closest atoms and distances in Å follow each position.
Sites, in units of the cell vectors:
1 P 0.6752 0.6752 0.0000  1 Os 2.40, 1 Zr 2.60
2 Zr 0.3402 0.3402 0.0000  5 P 2.60-2.89, 5 Os 2.76-2.82
3 Os 0.9845 0.9845 0.0000  1 P 2.40

Computed properties:
* E: -25.60 eV/cell
* energy of formation: -0.14 eV/atom
* space group: Imm2, No. 44
* DOS at the Fermi energy: 0.580 states/eV per atom



(11)
Here is ZrPOs2 after structural relaxation from the Alexandria database. Energies are from PBE-GGA.

abc: 3.0281 4.5507 4.5396
angles: 90.00 90.00 90.00
Closest atoms and distances in Å follow each position.
Sites, in units of the cell vectors:
1 Zr 0.0000 0.5000 0.5000  4 P 2.73, 4 Os 2.73, 2 Zr 3.03
2 P 0.5000 0.5000 0.0000  4 Zr 2.73, 4 Os 2.73, 2 P 3.03
3 Os 0.0000 0.0000 0.0000  6 Os 2.73-3.03, 4 P 2.73
4 Os 0.5000 0.0000 0.5000  6 Os 2.73-3.03, 4 Zr 2.73

Computed properties:
* E: -36.34 eV/cell
* energy of formation: 0.02 eV/atom
* space group: Pmmm, No. 47
* DOS at the Fermi energy: 0.968 states/eV per atom



(12)
Here is Zr2POs after structural relaxation from the Alexandria database. Energies are from PBE-GGA.

abc: 5.3002 5.3002 4.0697
angles: 90.00 90.00 140.70
Closest atoms and distances in Å follow each position.
Sites, in units of the cell vectors:
1 Zr 0.9825 0.0175 0.0000  3 Os 2.74-2.87, 4 P 2.77
2 P 0.5432 0.4568 0.5000  2 Os 2.61, 7 Zr 2.76-2.85
3 Zr 0.2665 0.7335 0.5000  3 P 2.76-2.85, 4 Os 2.77
4 Os 0.7077 0.2923 0.0000  2 P 2.61, 7 Zr 2.74-2.87

Computed properties:
* E: -36.91 eV/cell
* energy of formation: -0.79 eV/atom
* space group: Amm2, No. 38
* DOS at the Fermi energy: 0.576 states/eV per atom